Computed, not measured: a relaxed structure of Co3Pt4Rh at the PBE level of DFT.

Geometry as POSCAR:
```
Co3Pt4Rh
1.0
8.8178 0.0000 0.0000
0.0000 5.4155 0.0000
0.0000 0.0000 4.6804
Co Pt Rh
6 8 2
Cartesian
0.0000 0.0000 0.0000 Co
2.2044 0.0000 1.5374 Co
2.2044 2.7077 1.5541 Co
4.4089 0.0000 0.0000 Co
6.6133 0.0000 3.1430 Co
6.6133 2.7077 3.1263 Co
0.0000 1.3316 2.3402 Pt
0.0000 4.0839 2.3402 Pt
2.2044 1.3440 3.9350 Pt
2.2044 4.0714 3.9350 Pt
4.4089 1.3316 2.3402 Pt
4.4089 4.0839 2.3402 Pt
6.6133 1.3440 0.7454 Pt
6.6133 4.0714 0.7454 Pt
0.0000 2.7077 0.0000 Rh
4.4089 2.7077 0.0000 Rh
```

## Properties
Calculated total energy, eV for the cell shown: -106.728
SG: No. 51
Energy of formation from the pure elements, eV per atom: -0.07